[1]
Ru3PbS: relaxed, GGA-PBEsol.

CIF file:
```
data_Ru3PbS
_chemical_formula_sum 'Ru3 Pb1 S1'
_space_group_name_H-M_alt 'P m -3 m'
_space_group_IT_number 221
_space_group_name_Hall '-P 4 2 3'
_cell_length_a 4.3551
_cell_length_b 4.3551
_cell_length_c 4.3551
_cell_angle_alpha 90.00
_cell_angle_beta 90.00
_cell_angle_gamma 90.00
loop_
_atom_site_label
_atom_site_type_symbol
_atom_site_fract_x
_atom_site_fract_y
_atom_site_fract_z
_atom_site_occupancy
Ru1 Ru 0.0000 0.0000 0.5000 1
Pb1 Pb 0.5000 0.5000 0.5000 1
S1 S 0.0000 0.0000 0.0000 1
```

Computed properties:
DFT total energy in eV/atom: -7.2936
V in A^3/atom: 16.5

[2]
ScRuPb: relaxed, GGA-PBEsol.

CIF file:
```
data_ScRuPb
_chemical_formula_sum 'Sc2 Ru2 Pb2'
_space_group_name_H-M_alt 'I m m 2'
_space_group_IT_number 44
_space_group_name_Hall 'I 2 -2'
_cell_length_a 3.2773
_cell_length_b 3.7408
_cell_length_c 9.0723
_cell_angle_alpha 90.00
_cell_angle_beta 90.00
_cell_angle_gamma 90.00
loop_
_atom_site_label
_atom_site_type_symbol
_atom_site_fract_x
_atom_site_fract_y
_atom_site_fract_z
_atom_site_occupancy
Sc1 Sc 0.0000 0.0000 0.0000 1
Ru1 Ru 0.0000 0.0000 0.3528 1
Pb1 Pb 0.0000 0.0000 0.6862 1
```

Computed properties:
DFT total energy in eV/atom: -7.0955
Calculated formation energy in eV per atom: -0.17
V in A^3/atom: 18.5

[3]
Sc2RuPb: relaxed, GGA-PBEsol.

CIF file:
```
data_Sc2RuPb
_chemical_formula_sum 'Sc2 Ru1 Pb1'
_space_group_name_H-M_alt 'P 4/m m m'
_space_group_IT_number 123
_space_group_name_Hall '-P 4 2'
_cell_length_a 3.2165
_cell_length_b 3.2165
_cell_length_c 7.7018
_cell_angle_alpha 90.00
_cell_angle_beta 90.00
_cell_angle_gamma 90.00
loop_
_atom_site_label
_atom_site_type_symbol
_atom_site_fract_x
_atom_site_fract_y
_atom_site_fract_z
_atom_site_occupancy
Sc1 Sc 0.0000 0.0000 0.1979 1
Ru1 Ru 0.5000 0.5000 0.0000 1
Pb1 Pb 0.5000 0.5000 0.5000 1
```

Computed properties:
DFT total energy in eV/atom: -7.3685
Calculated formation energy in eV per atom: -0.52
V in A^3/atom: 19.9

[4]
ScRuPb: relaxed, GGA-PBEsol.

CIF file:
```
data_ScRuPb
_chemical_formula_sum 'Sc4 Ru4 Pb4'
_space_group_name_H-M_alt 'F -4 3 m'
_space_group_IT_number 216
_space_group_name_Hall 'F -4 2 3'
_cell_length_a 6.3779
_cell_length_b 6.3779
_cell_length_c 6.3779
_cell_angle_alpha 90.00
_cell_angle_beta 90.00
_cell_angle_gamma 90.00
loop_
_atom_site_label
_atom_site_type_symbol
_atom_site_fract_x
_atom_site_fract_y
_atom_site_fract_z
_atom_site_occupancy
Sc1 Sc 0.0000 0.0000 0.0000 1
Ru1 Ru 0.2500 0.2500 0.2500 1
Pb1 Pb 0.2500 0.2500 0.7500 1
```

Computed properties:
DFT total energy in eV/atom: -6.4657
Calculated formation energy in eV per atom: 0.46
V in A^3/atom: 21.6

[5]
RuPbSe2: relaxed, GGA-PBEsol.

CIF file:
```
data_RuPbSe2
_chemical_formula_sum 'Ru3 Pb3 Se6'
_space_group_name_H-M_alt 'R -3 m'
_space_group_IT_number 166
_space_group_name_Hall '-R 3 2"'
_cell_length_a 3.5795
_cell_length_b 3.5795
_cell_length_c 25.9092
_cell_angle_alpha 90.00
_cell_angle_beta 90.00
_cell_angle_gamma 120.00
loop_
_atom_site_label
_atom_site_type_symbol
_atom_site_fract_x
_atom_site_fract_y
_atom_site_fract_z
_atom_site_occupancy
Ru1 Ru 0.0000 0.0000 0.0000 1
Pb1 Pb 0.0000 0.0000 0.5000 1
Se1 Se 0.0000 0.0000 0.3847 1
```

Computed properties:
DFT total energy in eV/atom: -5.5923
V in A^3/atom: 24.0

[6]
RuPbSe2: relaxed, GGA-PBEsol.

CIF file:
```
data_RuPbSe2
_chemical_formula_sum 'Ru3 Pb3 Se6'
_space_group_name_H-M_alt 'R -3 m'
_space_group_IT_number 166
_space_group_name_Hall '-R 3 2"'
_cell_length_a 3.0645
_cell_length_b 3.0645
_cell_length_c 30.5396
_cell_angle_alpha 90.00
_cell_angle_beta 90.00
_cell_angle_gamma 120.00
loop_
_atom_site_label
_atom_site_type_symbol
_atom_site_fract_x
_atom_site_fract_y
_atom_site_fract_z
_atom_site_occupancy
Ru1 Ru 0.0000 0.0000 0.0000 1
Pb1 Pb 0.0000 0.0000 0.5000 1
Se1 Se 0.0000 0.0000 0.0762 1
```

Computed properties:
DFT total energy in eV/atom: -5.0218
V in A^3/atom: 20.7

[7]
RuPbSe2: relaxed, GGA-PBEsol.

CIF file:
```
data_RuPbSe2
_chemical_formula_sum 'Ru1 Pb1 Se2'
_space_group_name_H-M_alt 'P 4/m m m'
_space_group_IT_number 123
_space_group_name_Hall '-P 4 2'
_cell_length_a 4.8715
_cell_length_b 4.8715
_cell_length_c 3.2597
_cell_angle_alpha 90.00
_cell_angle_beta 90.00
_cell_angle_gamma 90.00
loop_
_atom_site_label
_atom_site_type_symbol
_atom_site_fract_x
_atom_site_fract_y
_atom_site_fract_z
_atom_site_occupancy
Ru1 Ru 0.0000 0.0000 0.0000 1
Pb1 Pb 0.5000 0.5000 0.0000 1
Se1 Se 0.0000 0.5000 0.5000 1
```

Computed properties:
DFT total energy in eV/atom: -5.0636
V in A^3/atom: 19.3

[8]
RuPbSe4: relaxed, GGA-PBEsol.

CIF file:
```
data_RuPbSe4
_chemical_formula_sum 'Ru4 Pb4 Se16'
_space_group_name_H-M_alt 'F -4 3 m'
_space_group_IT_number 216
_space_group_name_Hall 'F -4 2 3'
_cell_length_a 7.9669
_cell_length_b 7.9669
_cell_length_c 7.9669
_cell_angle_alpha 90.00
_cell_angle_beta 90.00
_cell_angle_gamma 90.00
loop_
_atom_site_label
_atom_site_type_symbol
_atom_site_fract_x
_atom_site_fract_y
_atom_site_fract_z
_atom_site_occupancy
Ru1 Ru 0.0000 0.0000 0.0000 1
Pb1 Pb 0.2500 0.2500 0.2500 1
Se1 Se 0.1264 0.1264 0.6264 1
```

Computed properties:
DFT total energy in eV/atom: -4.0460
V in A^3/atom: 21.1

[9]
RuPbSe2: relaxed, GGA-PBEsol.

CIF file:
```
data_RuPbSe2
_chemical_formula_sum 'Ru4 Pb4 Se8'
_space_group_name_H-M_alt 'F -4 3 m'
_space_group_IT_number 216
_space_group_name_Hall 'F -4 2 3'
_cell_length_a 6.7363
_cell_length_b 6.7363
_cell_length_c 6.7363
_cell_angle_alpha 90.00
_cell_angle_beta 90.00
_cell_angle_gamma 90.00
loop_
_atom_site_label
_atom_site_type_symbol
_atom_site_fract_x
_atom_site_fract_y
_atom_site_fract_z
_atom_site_occupancy
Ru1 Ru 0.0000 0.0000 0.0000 1
Pb1 Pb 0.2500 0.2500 0.2500 1
Se1 Se 0.0000 0.0000 0.5000 1
Se2 Se 0.2500 0.2500 0.7500 1
```

Computed properties:
DFT total energy in eV/atom: -4.8181
V in A^3/atom: 19.1

[10]
SiRu2Pb: relaxed, GGA-PBEsol.

CIF file:
```
data_SiRu2Pb
_chemical_formula_sum 'Si4 Ru8 Pb4'
_space_group_name_H-M_alt 'F -4 3 m'
_space_group_IT_number 216
_space_group_name_Hall 'F -4 2 3'
_cell_length_a 6.3534
_cell_length_b 6.3534
_cell_length_c 6.3534
_cell_angle_alpha 90.00
_cell_angle_beta 90.00
_cell_angle_gamma 90.00
loop_
_atom_site_label
_atom_site_type_symbol
_atom_site_fract_x
_atom_site_fract_y
_atom_site_fract_z
_atom_site_occupancy
Si1 Si 0.0000 0.0000 0.0000 1
Ru1 Ru 0.0000 0.0000 0.5000 1
Ru2 Ru 0.2500 0.2500 0.7500 1
Pb1 Pb 0.2500 0.2500 0.2500 1
```

Computed properties:
DFT total energy in eV/atom: -6.9028
V in A^3/atom: 16.0
Energy above the lowest structure with this stoichiometry in eV/atom: 0.474

[11]
SiRu2Pb: relaxed, GGA-PBEsol.

CIF file:
```
data_SiRu2Pb
_chemical_formula_sum 'Si4 Ru8 Pb4'
_space_group_name_H-M_alt 'F m -3 m'
_space_group_IT_number 225
_space_group_name_Hall '-F 4 2 3'
_cell_length_a 6.2357
_cell_length_b 6.2357
_cell_length_c 6.2357
_cell_angle_alpha 90.00
_cell_angle_beta 90.00
_cell_angle_gamma 90.00
loop_
_atom_site_label
_atom_site_type_symbol
_atom_site_fract_x
_atom_site_fract_y
_atom_site_fract_z
_atom_site_occupancy
Si1 Si 0.0000 0.0000 0.0000 1
Ru1 Ru 0.2500 0.2500 0.2500 1
Pb1 Pb 0.0000 0.0000 0.5000 1
```

Computed properties:
DFT total energy in eV/atom: -7.3766
V in A^3/atom: 15.2
Energy above the lowest structure with this stoichiometry in eV/atom: 0.000

[12]
SrRu2Pb: relaxed, GGA-PBEsol.

CIF file:
```
data_SrRu2Pb
_chemical_formula_sum 'Sr1 Ru2 Pb1'
_space_group_name_H-M_alt 'P 4 m m'
_space_group_IT_number 99
_space_group_name_Hall 'P 4 -2'
_cell_length_a 3.1077
_cell_length_b 3.1077
_cell_length_c 8.3731
_cell_angle_alpha 90.00
_cell_angle_beta 90.00
_cell_angle_gamma 90.00
loop_
_atom_site_label
_atom_site_type_symbol
_atom_site_fract_x
_atom_site_fract_y
_atom_site_fract_z
_atom_site_occupancy
Sr1 Sr 0.0000 0.0000 0.0000 1
Ru1 Ru 0.0000 0.0000 0.5693 1
Ru2 Ru 0.5000 0.5000 0.7339 1
Pb1 Pb 0.5000 0.5000 0.3390 1
```

Computed properties:
DFT total energy in eV/atom: -6.2212
Calculated formation energy in eV per atom: 0.32
V in A^3/atom: 20.2